(1)
# AlRhAu

A geometry-optimized AlRhAu structure (PBE, Alexandria).

Properties
Formation energy from the elements in eV/f.u.: -1.6
Calculated density in Mg/m³: 11.79
Energy above the most stable polymorph in this dataset in meV/atom: 28.6
Calculated total energy in Ha/atom: -0.1952

POSCAR file:
```
AlRhAu
1.0
-3.6691 1.3634 -1.8590
2.0320 -1.4301 -5.0596
-2.9491 -6.8942 0.7643
Au Al Rh
4 4 4
direct
0.5000 0.2500 0.7500
0.0000 0.7500 0.2500
0.5000 0.7500 0.7500
0.0000 0.2500 0.2500
0.0000 0.5000 0.5845
0.0000 0.0000 0.9156
0.5000 0.0000 0.4155
0.5000 0.5000 0.0844
0.0000 0.0000 0.5828
0.0000 0.5000 0.9172
0.5000 0.0000 0.0828
0.5000 0.5000 0.4172
```

=====

(2)
# La8Te4P3O

A geometry-optimized La8Te4P3O structure (PBE, Alexandria).

Properties
Calculated density in Mg/m³: 6.14
Calculated total energy in Ha/atom: -0.2318
Formation energy without anion corrections in eV/f.u.: -27.763

POSCAR file:
```
La8Te4P3O
1.0
-1.0938 -6.4010 -5.5409
8.2607 1.2635 -3.0894
-1.0778 -1.3594 8.3585
La Te P O
8 4 3 1
direct
0.2291 0.7060 0.9768
0.2293 0.7061 0.4586
0.2615 0.2845 0.5230
0.7477 0.7060 0.9768
0.2523 0.2940 0.0232
0.7385 0.7155 0.4770
0.7707 0.2939 0.5414
0.7709 0.2940 0.0232
0.5000 0.0000 0.0000
0.5000 0.0000 0.5000
0.0000 0.0000 0.0000
0.0000 0.0000 0.5000
0.5000 0.5000 0.0000
0.5000 0.5000 0.5000
0.0000 0.5000 0.5000
0.0000 0.5000 0.0000
```

=====

(3)
# La6Pr4Ho

A geometry-optimized La6Pr4Ho structure (PBE, Alexandria).

Properties
Formation energy from the elements in eV/f.u.: 1.0
Calculated density in Mg/m³: 6.52
Energy above the most stable polymorph in this dataset in meV/atom: 0.0
Calculated total energy in Ha/atom: -0.1746

POSCAR file:
```
La6Pr4Ho
1.0
6.0732 0.0000 0.0000
-3.0366 4.9645 0.0000
0.0000 0.0000 26.3832
La Pr Ho
12 8 2
direct
0.5000 0.0000 0.0000
0.5000 0.0000 0.5000
0.1142 0.2284 0.3156
0.8858 0.7716 0.6844
0.8858 0.7716 0.8156
0.1142 0.2284 0.1844
0.7931 0.5862 0.3956
0.2069 0.4138 0.6044
0.2069 0.4138 0.8956
0.7931 0.5862 0.1044
0.4390 0.8780 0.2500
0.5610 0.1220 0.7500
0.8528 0.7057 0.5449
0.4439 0.8877 0.1245
0.1472 0.2943 0.4551
0.5561 0.1123 0.8755
0.8528 0.7057 0.9551
0.1472 0.2943 0.0449
0.5561 0.1123 0.6245
0.4439 0.8877 0.3755
0.7806 0.5613 0.2500
0.2194 0.4387 0.7500
```

=====

(4)
# TcMoPt2

A geometry-optimized TcMoPt2 structure (PBE, Alexandria).

Properties
Formation energy from the elements in eV/f.u.: -1.0
Calculated density in Mg/m³: 15.96
Energy above the most stable polymorph in this dataset in meV/atom: 0.0
Calculated total energy in Ha/atom: -0.3151

POSCAR file:
```
TcMoPt2
1.0
4.4770 0.0000 0.0000
0.0000 2.7557 0.0000
0.0000 -0.0001 4.9245
Mo Tc Pt
1 1 2
direct
0.5000 0.6250 0.7808
0.0000 0.6250 0.4678
0.0000 0.1250 0.9632
0.5000 0.1250 0.2881
```

=====

(5)
# Cs2GaAgSe

A geometry-optimized Cs2GaAgSe structure (PBE, Alexandria).

Properties
Calculated density in Mg/m³: 3.41
Calculated total energy in Ha/atom: -0.0857
Formation energy without anion corrections in eV/f.u.: -0.588

POSCAR file:
```
Cs2GaAgSe
1.0
7.0923 0.0000 0.0000
0.0000 5.0610 0.0000
0.0000 0.0000 7.0923
Cs Ga Se Ag
2 1 1 1
direct
0.0000 0.0000 0.5000
0.5000 0.0000 0.0000
0.0000 0.0000 0.0000
0.0000 0.5000 0.0000
0.5000 0.5000 0.5000
```

=====

(6)
# NdTmTlHg

A geometry-optimized NdTmTlHg structure (PBE, Alexandria).

Properties
Formation energy from the elements in eV/f.u.: -1.6
Calculated density in Mg/m³: 10.84
Energy above the most stable polymorph in this dataset in meV/atom: 16.6
Calculated total energy in Ha/atom: -0.1241

POSCAR file:
```
NdTmTlHg
1.0
5.3780 0.0000 0.0000
2.6890 4.6575 0.0000
2.6890 1.5525 4.3911
Tl Tm Nd Hg
1 1 1 1
direct
0.0000 0.0000 0.0000
0.2500 0.2500 0.2500
0.7500 0.7500 0.7500
0.5000 0.5000 0.5000
```

=====

(7)
# Sc2CrPt

A geometry-optimized Sc2CrPt structure (PBE, Alexandria).

Properties
Formation energy from the elements in eV/f.u.: -0.4
Calculated density in Mg/m³: 7.27
Calculated total energy in Ha/atom: -0.2642

POSCAR file:
```
Sc2CrPt
1.0
-6.3820 -5.1666 2.5767
-3.7866 -6.9999 3.2751
-4.7823 -4.7229 5.3747
Cr Pt Sc
1 1 2
direct
0.2500 0.2500 0.2500
0.7500 0.7500 0.7500
0.0039 0.0039 0.0039
0.4961 0.4961 0.4961
```

=====

(8)
# LiMg3Nb

A geometry-optimized LiMg3Nb structure (PBE, Alexandria).

Properties
Formation energy from the elements in eV/f.u.: 3.2
Calculated density in Mg/m³: 2.97
Energy above the most stable polymorph in this dataset in meV/atom: 0.0
Calculated total energy in Ha/atom: -0.0996

POSCAR file:
```
LiMg3Nb
1.0
4.5860 0.0000 0.0000
0.0000 4.5860 0.0000
0.0000 0.0000 4.5860
Nb Mg Li
1 3 1
direct
0.5000 0.5000 0.5000
0.0000 0.5000 0.0000
0.0000 0.0000 0.5000
0.5000 0.0000 0.0000
0.0000 0.0000 0.0000
```

=====

(9)
# Tb5CeNd4

A geometry-optimized Tb5CeNd4 structure (PBE, Alexandria).

Properties
Formation energy from the elements in eV/f.u.: 2.1
Calculated density in Mg/m³: 7.57
Calculated total energy in Ha/atom: -0.1694

POSCAR file:
```
Tb5CeNd4
1.0
6.6035 -0.7746 -0.1485
-3.3754 12.6317 -3.4032
0.0919 -3.6229 5.1295
Tb Ce Nd
5 1 4
direct
0.8505 0.3049 0.6507
0.8783 0.9270 0.6487
0.1217 0.0730 0.3512
0.5000 0.5000 0.0000
0.1494 0.6951 0.3493
0.5000 0.0000 0.0000
0.4980 0.1912 0.9318
0.1190 0.3618 0.2399
0.5020 0.8088 0.0682
0.8810 0.6382 0.7601
```

=====

(10)
# LaTb2Be

A geometry-optimized LaTb2Be structure (PBE, Alexandria).

Properties
Formation energy from the elements in eV/f.u.: 2.8
Calculated density in Mg/m³: 6.34
Energy above the most stable polymorph in this dataset in meV/atom: 632.1
Calculated total energy in Ha/atom: -0.1385

POSCAR file:
```
LaTb2Be
1.0
-1.6582 2.6982 1.4966
-0.2117 0.2077 3.4903
9.2105 6.8760 1.9071
Be Tb La
1 2 1
direct
0.0000 0.0000 0.0000
0.0833 0.0833 0.7502
0.9167 0.9167 0.2498
0.5000 0.5000 0.5000
```

=====

(11)
# Si3N4

A geometry-optimized Si3N4 structure (PBE, Alexandria).

Properties
Calculated density in Mg/m³: 3.51
Energy above the most stable polymorph in this dataset in meV/atom: 495.4
Calculated total energy in Ha/atom: -0.2825
Formation energy without anion corrections in eV/f.u.: -4.233

POSCAR file:
```
Si3N4
1.0
3.1060 -5.3798 0.0000
3.1060 5.3798 0.0000
0.0000 0.0000 3.9707
Si N
6 8
direct
0.1709 0.8291 0.2500
0.1709 0.3417 0.2500
0.6583 0.8291 0.2500
0.3417 0.1709 0.7500
0.8291 0.6583 0.7500
0.8291 0.1709 0.7500
0.1569 0.8431 0.7500
0.3333 0.6667 0.2500
0.1569 0.3138 0.7500
0.6862 0.8431 0.7500
0.3138 0.1569 0.2500
0.8431 0.6862 0.2500
0.6667 0.3333 0.7500
0.8431 0.1569 0.2500
```

=====

(12)
# V2ReW3

A geometry-optimized V2ReW3 structure (PBE, Alexandria).

Properties
Formation energy from the elements in eV/f.u.: -0.9
Calculated density in Mg/m³: 15.41
Calculated total energy in Ha/atom: -0.4316

POSCAR file:
```
V2ReW3
1.0
-2.2495 -0.9737 3.6694
3.4056 -2.3421 1.4663
3.4625 7.6312 4.1475
V Re W
4 2 6
direct
0.0000 0.0000 0.3345
0.0000 0.0000 0.6655
0.5000 0.0000 0.8345
0.5000 0.0000 0.1655
0.5000 0.0000 0.5000
0.0000 0.0000 0.0000
0.5000 0.5000 0.3320
0.0000 0.4999 0.5000
0.5000 0.5000 0.6680
0.0000 0.5000 0.8320
0.5000 0.5001 0.0000
0.0000 0.5000 0.1680
```

=====

(13)
# ZrTa2Pt

A geometry-optimized ZrTa2Pt structure (PBE, Alexandria).

Properties
Formation energy from the elements in eV/f.u.: -0.9
Calculated density in Mg/m³: 14.56
Calculated total energy in Ha/atom: -0.3598

POSCAR file:
```
ZrTa2Pt
1.0
3.1269 0.0000 0.0000
0.0000 3.6134 0.0000
0.0000 0.0000 6.5450
Pt Ta Zr
1 2 1
direct
0.5000 0.5000 0.7500
0.0000 0.0000 0.9838
0.0000 0.0000 0.5162
0.5000 0.5000 0.2500
```

=====

(14)
# Ac3SbO7

A geometry-optimized Ac3SbO7 structure (PBE, Alexandria).

Properties
Calculated density in Mg/m³: 8.15
Calculated total energy in Ha/atom: -0.2759
Formation energy without anion corrections in eV/f.u.: -31.436

POSCAR file:
```
Ac3SbO7
1.0
6.9996 0.0118 0.0000
-2.4132 6.5705 0.0000
0.0000 0.0000 8.0962
Ac Sb O
6 2 14
direct
0.4998 0.4998 0.5000
0.5002 0.5002 0.0000
0.5284 0.9992 0.2500
0.4716 0.0008 0.7500
0.9992 0.5284 0.7500
0.0008 0.4716 0.2500
0.0000 0.0000 0.5000
0.0000 0.0000 0.0000
0.6964 0.9357 0.5251
0.3036 0.0643 0.0251
0.9357 0.6964 0.4749
0.0643 0.3036 0.9749
0.0646 0.3037 0.5251
0.9354 0.6963 0.0251
0.3037 0.0646 0.4749
0.6963 0.9354 0.9749
0.3715 0.6285 0.2500
0.6285 0.3715 0.7500
0.6325 0.3675 0.2500
0.3675 0.6325 0.7500
0.9466 0.0534 0.2500
0.0534 0.9466 0.7500
```

=====

(15)
# Cr3Ni3Rh5

A geometry-optimized Cr3Ni3Rh5 structure (PBE, Alexandria).

Properties
Formation energy from the elements in eV/f.u.: 4.1
Calculated density in Mg/m³: 9.18
Calculated total energy in Ha/atom: -0.2636

POSCAR file:
```
Cr3Ni3Rh5
1.0
2.6828 0.0000 0.0000
0.0000 7.0300 -4.0588
0.0000 0.0000 8.1175
Cr Ni Rh
3 3 5
direct
0.0000 0.5926 0.0000
0.0000 0.0000 0.5926
0.0000 0.4074 0.4074
0.5000 0.8328 0.0000
0.5000 0.1672 0.1672
0.5000 0.0000 0.8328
0.5000 0.6667 0.3333
0.5000 0.3333 0.6667
0.5000 0.3432 0.0000
0.5000 0.6568 0.6568
0.5000 0.0000 0.3432
```

=====

(16)
# Ce3Al9Co2

A geometry-optimized Ce3Al9Co2 structure (PBE, Alexandria).

Properties
Formation energy from the elements in eV/f.u.: -5.9
Calculated density in Mg/m³: 5.01
Calculated total energy in Ha/atom: -0.1880

POSCAR file:
```
Ce3Al9Co2
1.0
4.1992 0.0000 1.0715
1.6637 7.6238 2.2438
0.1649 -0.0314 8.1176
Ce Al Co
3 9 2
direct
0.0000 0.0000 0.0000
0.6906 0.3094 0.3094
0.3094 0.6906 0.6906
0.0000 0.5000 0.5000
0.6534 0.9865 0.7068
0.3466 0.0135 0.2932
0.6534 0.7068 0.9865
0.3466 0.2932 0.0135
0.8772 0.8407 0.4049
0.1228 0.1593 0.5951
0.8772 0.4049 0.8407
0.1228 0.5951 0.1593
0.5000 0.3097 0.6903
0.5000 0.6903 0.3097
```

=====

(17)
# Na3LaBr6

A geometry-optimized Na3LaBr6 structure (PBE, Alexandria).

Properties
Calculated density in Mg/m³: 3.47
Energy above the most stable polymorph in this dataset in meV/atom: 16.8
Calculated total energy in Ha/atom: -0.1323
Formation energy without anion corrections in eV/f.u.: -17.089

POSCAR file:
```
Na3LaBr6
1.0
7.4946 0.0000 0.0441
0.0000 7.8512 0.0000
0.1616 0.0000 11.1656
Na La Br
6 2 12
direct
0.5171 0.9295 0.7756
0.5000 0.5000 0.0000
0.4829 0.0705 0.2244
0.0171 0.5705 0.2756
0.0000 0.0000 0.5000
0.9829 0.4295 0.7244
0.5000 0.5000 0.5000
0.0000 0.0000 0.0000
0.6709 0.1801 0.9415
0.6742 0.1892 0.5924
0.6451 0.4178 0.2581
0.3549 0.5822 0.7419
0.3258 0.8108 0.4076
0.3291 0.8199 0.0585
0.1709 0.3199 0.4415
0.1742 0.3108 0.0924
0.1451 0.0822 0.7581
0.8549 0.9178 0.2419
0.8258 0.6892 0.9076
0.8291 0.6801 0.5585
```

=====

(18)
# PmSm5Ir4

A geometry-optimized PmSm5Ir4 structure (PBE, Alexandria).

Properties
Formation energy from the elements in eV/f.u.: -5.7
Calculated density in Mg/m³: 10.05
Calculated total energy in Ha/atom: -0.2554

POSCAR file:
```
PmSm5Ir4
1.0
4.3186 0.0000 0.0000
0.0000 7.4591 -1.2506
-2.1593 -2.3498 8.9338
Pm Sm Ir
1 5 4
direct
0.5000 0.0000 0.0000
0.8346 0.5922 0.6692
0.8345 0.0767 0.6690
0.1655 0.9233 0.3310
0.5000 0.5000 0.0000
0.1654 0.4078 0.3308
0.3010 0.8010 0.6021
0.0001 0.7415 0.0001
0.6990 0.1990 0.3979
0.9999 0.2585 0.9999
```

=====

(19)
# Ac3SnHg3

A geometry-optimized Ac3SnHg3 structure (PBE, Alexandria).

Properties
Formation energy from the elements in eV/f.u.: -2.7
Calculated density in Mg/m³: 9.68
Energy above the most stable polymorph in this dataset in meV/atom: 60.1
Calculated total energy in Ha/atom: -0.1045

POSCAR file:
```
Ac3SnHg3
1.0
7.6955 0.0076 -0.0002
0.0252 7.6954 -0.0002
0.0019 0.0019 8.1221
Ac Sn Hg
6 2 6
direct
0.0003 0.0003 0.7545
0.4996 0.0005 0.2530
0.0005 0.4996 0.2530
0.5004 0.9995 0.7470
0.9995 0.5004 0.7470
0.9997 0.9997 0.2455
0.2668 0.2668 0.9994
0.7332 0.7332 0.0006
0.3461 0.3461 0.5011
0.2457 0.7543 0.5000
0.7543 0.2457 0.5000
0.3103 0.6897 0.0000
0.6897 0.3103 0.0000
0.6539 0.6539 0.4989
```

=====

(20)
# Sr2WAu

A geometry-optimized Sr2WAu structure (PBE, Alexandria).

Properties
Formation energy from the elements in eV/f.u.: 3.0
Calculated density in Mg/m³: 8.14
Energy above the most stable polymorph in this dataset in meV/atom: 235.0
Calculated total energy in Ha/atom: -0.1528

POSCAR file:
```
Sr2WAu
1.0
0.0000 3.8416 3.8416
3.8416 0.0000 3.8416
3.8416 3.8416 0.0000
Sr Au W
2 1 1
direct
0.2500 0.2500 0.2500
0.7500 0.7500 0.7500
0.5000 0.5000 0.5000
0.0000 0.0000 0.0000
```

=====

(21)
# LiLaSmMg

A geometry-optimized LiLaSmMg structure (PBE, Alexandria).

Properties
Formation energy from the elements in eV/f.u.: 0.1
Calculated density in Mg/m³: 4.53
Calculated total energy in Ha/atom: -0.1201

POSCAR file:
```
LiLaSmMg
1.0
-5.0352 0.8361 2.0459
-2.5049 -3.9792 2.8511
-0.7088 0.5350 5.4267
Mg Li Sm La
1 1 1 1
direct
0.5000 0.5000 0.5000
0.0000 0.0000 0.0000
0.7500 0.7500 0.7500
0.2500 0.2500 0.2500
```

=====

(22)
# TiHgP2Cl

A geometry-optimized TiHgP2Cl structure (PBE, Alexandria).

Properties
Calculated density in Mg/m³: 4.57
Energy above the most stable polymorph in this dataset in meV/atom: 1128.0
Calculated total energy in Ha/atom: -0.1146
Formation energy without anion corrections in eV/f.u.: 5.268

POSCAR file:
```
TiHgP2Cl
1.0
4.8912 0.0000 0.0000
0.0000 4.8912 0.0000
0.0000 0.0000 5.2518
P Cl Hg Ti
2 1 1 1
direct
0.0000 0.5000 0.0000
0.5000 0.0000 0.0000
0.0000 0.0000 0.5000
0.0000 0.0000 0.0000
0.5000 0.5000 0.5000
```

=====

(23)
# BeAgSe2

A geometry-optimized BeAgSe2 structure (PBE, Alexandria).

Properties
Calculated density in Mg/m³: 5.80
Calculated total energy in Ha/atom: -0.1290
Formation energy without anion corrections in eV/f.u.: -0.500

POSCAR file:
```
BeAgSe2
1.0
1.9822 0.0000 7.7008
-0.9911 1.7166 7.7008
-0.9911 -1.7166 7.7008
Be Se Ag
1 2 1
direct
0.5000 0.5000 0.5000
0.8915 0.8915 0.8915
0.1085 0.1085 0.1085
0.0000 0.0000 0.0000
```